Record 1
## PuNpCoIr (PBE)

Data for a geometry-optimized PuNpCoIr structure.

The energy relative to the elements comes out at -0.24 eV/atom. For the density of states at the Fermi level, the calculation gives 40.92 states/eV per cell.

The space group is F-43m (No. 216) and the conventional cell measures 6.340, 6.340 and 6.340 Å, with angles of 90.00, 90.00 and 90.00 degrees. The distinct sites, in fractional coordinates, are Pu at (0.000, 0.000, 0.000), Np at (0.250, 0.250, 0.250), Co at (0.250, 0.250, 0.750) and Ir at (0.000, 0.000, 0.500).

Record 2
## Tb6Pm2DyEr (PBE)

Data for a geometry-optimized Tb6Pm2DyEr structure.

The energy relative to the elements comes out at 0.12 eV/atom. For the density of states at the Fermi level, the calculation gives 54.48 states/eV per cell.

The space group is C2/c (No. 15) and the conventional cell measures 9.038, 15.090 and 9.678 Å, with angles of 90.00, 98.65 and 90.00 degrees. The distinct sites, in fractional coordinates, are Tb at (0.064, 0.189, 0.443), Tb at (0.103, 0.395, 0.620), Tb at (0.203, 0.223, 0.813), Pm at (0.247, 0.052, 0.042), Dy at (0.000, 0.019, 0.750) and Er at (0.000, 0.408, 0.250).